## NbTe2W2Se4 (PBE)

Data for a relaxed NbTe2W2Se4 crystal.

## Properties
Total DFT energy (no corrections) = -6.72 eV/atom

a = 3.400 Å, b = 3.400 Å, c = 22.655 Å
α = 90.00°, β = 90.00°, γ = 120.00°
Element x y z (fractional)
Se  0.667  0.333  0.898
Te  0.667  0.333  0.417
W  0.000  0.000  0.971
Nb  0.000  0.000  0.328
Te  0.667  0.333  0.240
Se  0.000  0.000  0.732
Se  0.000  0.000  0.586
W  0.667  0.333  0.659
Se  0.667  0.333  0.044